5
Lattice="4.532 0.000 0.000 0.000 4.532 0.000 0.000 0.000 4.532" Properties=species:S:1:pos:R:3 comment="PBEsol CaBeOs3, relaxed" dos_at_fermi_per_ev_fu=6.51 delta_e_f_ev_per_atom=3.486 pbc="T T T"
Ca 0.000 0.000 0.000
Be 2.266 2.266 2.266
Os 0.000 0.000 2.266
Os 0.000 2.266 0.000
Os 2.266 0.000 0.000

5
Lattice="4.778 0.000 0.000 0.000 4.778 0.000 0.000 0.000 5.138" Properties=species:S:1:pos:R:3 comment="PBEsol CaYBeOs2, relaxed" dos_at_fermi_per_ev_fu=4.62 delta_e_f_ev_per_atom=2.390 pbc="T T T"
Ca 0.000 0.000 0.000
Y 0.000 0.000 2.569
Be 2.389 2.389 0.000
Os 0.000 2.389 2.569
Os 2.389 0.000 2.569

3
Lattice="3.709 0.000 0.000 -1.855 3.212 0.000 0.000 0.000 4.179" Properties=species:S:1:pos:R:3 comment="PBEsol CaBeP, relaxed" polymorph_energy_mev_per_atom=0 dos_at_fermi_per_ev_fu=1.26 delta_e_f_ev_per_atom=-0.804 pbc="T T T"
Ca 0.000 0.000 0.000
Be 1.855 1.071 2.090
P 0.000 2.141 2.090

4
Lattice="3.120 0.000 0.000 0.000 3.120 0.000 0.000 0.000 6.093" Properties=species:S:1:pos:R:3 comment="PBEsol CaBe2P, relaxed" dos_at_fermi_per_ev_fu=1.85 delta_e_f_ev_per_atom=0.031 pbc="T T T"
Ca 0.000 0.000 0.000
Be 0.000 0.000 2.964
Be 1.560 1.560 4.032
P 1.560 1.560 1.955